Record 1
UVRu after structural relaxation, computed with PBE.

```
UVRu
1.0
4.415 0.000 0.000
-2.207 3.823 0.000
0.000 0.000 2.821
U V Ru
1 1 1
Cartesian
0.000 0.000 0.000
0.000 2.549 2.283
2.207 1.274 0.874
```

Summary:
Raw total energy, eV/atom: -9.91
Spin magnetization, μB per cell: 0.0
Formation enthalpy at 0 K, eV per atom: -0.015
Excess energy over the best structure of this formula in the dataset, meV/atom: 66.6


Record 2
UV2Ru after structural relaxation, computed with PBE.

```
UV2Ru
1.0
0.000 3.128 3.128
3.128 0.000 3.128
3.128 3.128 0.000
U V Ru
1 2 1
Cartesian
0.000 0.000 0.000
1.564 1.564 1.564
4.691 4.691 4.691
3.128 3.128 3.128
```

Summary:
Raw total energy, eV/atom: -9.61
Spin magnetization, μB per cell: 1.0
Formation enthalpy at 0 K, eV per atom: 0.087
Excess energy over the best structure of this formula in the dataset, meV/atom: 0.0


Record 3
URuW after structural relaxation, computed with PBE.

```
URuW
1.0
3.735 0.000 0.000
0.000 3.735 0.000
0.000 0.000 7.708
U Ru W
2 2 2
Cartesian
0.934 2.801 0.000
2.801 0.934 0.000
0.934 0.934 2.416
2.801 2.801 5.291
0.934 0.934 4.848
2.801 2.801 2.860
```

Summary:
Raw total energy, eV/atom: -10.66
Spin magnetization, μB per cell: 1.9
Formation enthalpy at 0 K, eV per atom: 0.515